(1)
Material: Ac2TbPu
Method: DFT, GGA-PBE
State: relaxed

```
data_Ac2TbPu
_chemical_formula_sum 'Ac2 Tb1 Pu1'
_cell_length_a 5.376
_cell_length_b 5.376
_cell_length_c 5.081
_cell_angle_alpha 90.00
_cell_angle_beta 90.00
_cell_angle_gamma 90.00
_symmetry_space_group_name_H-M 'P 4/m m m'
_symmetry_Int_Tables_number 123
_symmetry_space_group_name_Hall '-P 4 2'
loop_
_atom_site_label
_atom_site_type_symbol
_atom_site_fract_x
_atom_site_fract_y
_atom_site_fract_z
Ac1 Ac 0.000 0.500 0.000
Tb1 Tb 0.000 0.000 0.500
Pu1 Pu 0.500 0.500 0.500
```

Computed properties:
total DFT energy (no corrections)	-0.2424	hartree per atom
mass density	9.7	g cm⁻³
energy above the most stable polymorph in this dataset	35	meV/atom
formation enthalpy at 0 K	0.197	eV per atom

---

(2)
Material: Ac2TbPuTe5
Method: DFT, GGA-PBE
State: relaxed

```
data_Ac2TbPuTe5
_chemical_formula_sum 'Ac2 Tb1 Pu1 Te5'
_cell_length_a 5.521
_cell_length_b 5.521
_cell_length_c 11.893
_cell_angle_alpha 90.00
_cell_angle_beta 90.00
_cell_angle_gamma 90.00
_symmetry_space_group_name_H-M 'P 4/m m m'
_symmetry_Int_Tables_number 123
_symmetry_space_group_name_Hall '-P 4 2'
loop_
_atom_site_label
_atom_site_type_symbol
_atom_site_fract_x
_atom_site_fract_y
_atom_site_fract_z
Ac1 Ac 0.000 0.000 0.206
Tb1 Tb 0.500 0.500 0.000
Pu1 Pu 0.500 0.500 0.500
Te1 Te 0.000 0.000 0.500
Te2 Te 0.000 0.500 0.000
Te3 Te 0.500 0.500 0.251
```

Computed properties:
total DFT energy (no corrections)	-0.2101	hartree per atom
mass density	6.8	g cm⁻³
energy relative to the elements, uncorrected	-0.951	eV per atom

---

- The highest mass density belongs to which entry?
  Ac2TbPu